# 1
Below is crystalline Ba3Sr2Li2Ag4 at its relaxed geometry, with properties calculated at the PBE level.

Unit cell a=4.872 b=4.872 c=19.470 alpha=90.00 beta=90.00 gamma=120.00
Fractional positions:
Ag  0.667  0.333  0.657
Ba  0.000  0.000  0.000
Ag  0.333  0.667  0.343
Ba  0.000  0.000  0.761
Li  0.667  0.333  0.880
Sr  0.667  0.333  0.421
Sr  0.333  0.667  0.579
Ag  0.333  0.667  0.882
Ag  0.667  0.333  0.118
Ba  0.000  0.000  0.239
Li  0.333  0.667  0.120

## Properties
* theoretical density: 4284 kg/m³
* formation enthalpy at 0 K: -3.9 kcal/mol of atoms



# 2
Below is crystalline BaLiAgTe2 at its relaxed geometry, with properties calculated at the PBE level.

Unit cell a=6.362 b=6.305 c=8.368 alpha=112.13 beta=90.00 gamma=90.00
Fractional positions:
Li  0.500  0.250  0.000
Ba  0.234  0.750  0.500
Te  0.276  0.128  0.256
Ag  0.000  0.500  0.000
Te  0.724  0.628  0.256
Te  0.276  0.372  0.744
Ag  0.000  0.000  0.000
Te  0.724  0.872  0.744
Ba  0.766  0.250  0.500
Li  0.500  0.750  0.000

## Properties
* formation energy from raw total energies: -0.970 eV per atom
* theoretical density: 5419 kg/m³



# 3
Below is crystalline BaLi4TlAg2 at its relaxed geometry, with properties calculated at the PBE level.

Unit cell a=4.686 b=4.686 c=10.078 alpha=76.56 beta=76.56 gamma=60.00
Fractional positions:
Ag  0.237  0.237  0.290
Li  0.867  0.867  0.398
Ba  0.000  0.000  0.000
Li  0.591  0.591  0.227
Tl  0.500  0.500  0.500
Ag  0.763  0.763  0.710
Li  0.409  0.409  0.773
Li  0.133  0.133  0.602

## Properties
* theoretical density: 5264 kg/m³
* formation enthalpy at 0 K: -3.2 kcal/mol of atoms



# 4
Below is crystalline BaLiTl2Ag4 at its relaxed geometry, with properties calculated at the PBE level.

Unit cell a=4.928 b=4.928 c=9.682 alpha=75.26 beta=75.26 gamma=60.00
Fractional positions:
Tl  0.241  0.241  0.276
Ag  0.133  0.133  0.600
Ag  0.593  0.593  0.220
Ba  0.000  0.000  0.000
Ag  0.407  0.407  0.780
Tl  0.759  0.759  0.724
Ag  0.867  0.867  0.400
Li  0.500  0.500  0.500

## Properties
* theoretical density: 8400 kg/m³
* formation enthalpy at 0 K: -2.8 kcal/mol of atoms



# 5
Below is crystalline Ba2Li2Tl5Ag at its relaxed geometry, with properties calculated at the PBE level.

Unit cell a=4.014 b=11.875 c=11.875 alpha=90.00 beta=90.00 gamma=90.00
Fractional positions:
Tl  0.500  0.500  0.000
Tl  0.500  0.308  0.552
Tl  0.500  0.000  0.500
Li  0.000  0.119  0.619
Tl  0.500  0.692  0.448
Ba  0.000  0.682  0.182
Tl  0.500  0.052  0.808
Ba  0.000  0.182  0.318
Li  0.000  0.381  0.119
Tl  0.500  0.448  0.308
Li  0.000  0.881  0.381
Ba  0.000  0.318  0.818
Ag  0.000  0.000  0.000
Ba  0.000  0.818  0.682
Tl  0.500  0.552  0.692
Tl  0.500  0.948  0.192
Tl  0.500  0.808  0.948
Tl  0.500  0.192  0.052
Li  0.000  0.619  0.881
Ag  0.000  0.500  0.500

## Properties
* theoretical density: 8320 kg/m³
* formation enthalpy at 0 K: -5.1 kcal/mol of atoms



# 6
Below is crystalline BaLi2Tl4Ag at its relaxed geometry, with properties calculated at the PBE level.

Unit cell a=4.856 b=4.856 c=10.985 alpha=77.23 beta=77.23 gamma=60.00
Fractional positions:
Li  0.218  0.218  0.347
Li  0.782  0.782  0.653
Ag  0.500  0.500  0.500
Tl  0.403  0.403  0.790
Tl  0.123  0.123  0.630
Ba  0.000  0.000  0.000
Tl  0.597  0.597  0.210
Tl  0.877  0.877  0.370

## Properties
* theoretical density: 8243 kg/m³
* formation enthalpy at 0 K: -4.8 kcal/mol of atoms



# 7
Below is crystalline Ba2LiTl6Ag at its relaxed geometry, with properties calculated at the PBE level.

Unit cell a=7.462 b=7.970 c=7.860 alpha=56.08 beta=61.99 gamma=89.98
Fractional positions:
Tl  0.195  0.255  0.062
Tl  0.252  0.738  0.947
Ag  0.000  0.000  0.000
Tl  0.805  0.745  0.938
Tl  0.259  0.187  0.488
Tl  0.748  0.262  0.053
Tl  0.741  0.813  0.512
Li  0.500  0.500  0.000
Ba  0.719  0.285  0.559
Ba  0.281  0.715  0.441

## Properties
* theoretical density: 8388 kg/m³
* formation enthalpy at 0 K: -4.1 kcal/mol of atoms



# 8
Below is crystalline Ba2LiTlAg at its relaxed geometry, with properties calculated at the PBE level.

Unit cell a=6.441 b=6.441 c=4.845 alpha=90.00 beta=90.00 gamma=90.00
Fractional positions:
Ba  0.500  0.000  0.000
Ba  0.000  0.500  0.000
Tl  0.500  0.500  0.500
Ag  0.000  0.000  0.000
Li  0.000  0.000  0.500

## Properties
* theoretical density: 4906 kg/m³
* formation enthalpy at 0 K: -2.5 kcal/mol of atoms



# 9
Below is crystalline BaLiTl4Ag2 at its relaxed geometry, with properties calculated at the PBE level.

Unit cell a=4.905 b=4.905 c=10.846 alpha=76.93 beta=76.93 gamma=60.00
Fractional positions:
Tl  0.870  0.870  0.390
Li  0.500  0.500  0.500
Ag  0.769  0.769  0.693
Ba  0.000  0.000  0.000
Tl  0.130  0.130  0.610
Ag  0.231  0.231  0.307
Tl  0.599  0.599  0.202
Tl  0.401  0.401  0.798

## Properties
* theoretical density: 8963 kg/m³
* formation enthalpy at 0 K: -3.3 kcal/mol of atoms



# 10
Below is crystalline BaLiTlAg2 at its relaxed geometry, with properties calculated at the PBE level.

Unit cell a=5.119 b=5.119 c=5.149 alpha=90.00 beta=90.00 gamma=90.00
Fractional positions:
Li  0.000  0.000  0.000
Ba  0.500  0.500  0.500
Ag  0.000  0.500  0.000
Tl  0.000  0.000  0.500
Ag  0.500  0.000  0.000

## Properties
* theoretical density: 6947 kg/m³
* formation enthalpy at 0 K: -2.3 kcal/mol of atoms



# 11
Below is crystalline BaLiZn2Ag4 at its relaxed geometry, with properties calculated at the PBE level.

Unit cell a=4.590 b=4.590 c=9.705 alpha=76.32 beta=76.32 gamma=60.00
Fractional positions:
Ba  0.000  0.000  0.000
Li  0.500  0.500  0.500
Zn  0.233  0.233  0.301
Ag  0.867  0.867  0.398
Ag  0.411  0.411  0.767
Zn  0.767  0.767  0.699
Ag  0.133  0.133  0.602
Ag  0.589  0.589  0.233

## Properties
* theoretical density: 6887 kg/m³
* formation enthalpy at 0 K: -3.6 kcal/mol of atoms



# 12
Below is crystalline BaLi2ZnAg at its relaxed geometry, with properties calculated at the PBE level.

Unit cell a=5.152 b=5.152 c=5.080 alpha=90.00 beta=90.00 gamma=90.00
Fractional positions:
Li  0.000  0.500  0.000
Ag  0.000  0.000  0.000
Li  0.500  0.000  0.000
Ba  0.500  0.500  0.500
Zn  0.000  0.000  0.500

## Properties
* theoretical density: 3996 kg/m³
* excess energy over the best structure of this formula in the dataset: 0 meV per atom
* formation enthalpy at 0 K: -1.3 kcal/mol of atoms



# 13
Below is crystalline BaLiZn2Ag at its relaxed geometry, with properties calculated at the PBE level.

Unit cell a=5.071 b=5.071 c=5.056 alpha=90.00 beta=90.00 gamma=90.00
Fractional positions:
Ag  0.000  0.000  0.000
Zn  0.500  0.000  0.000
Zn  0.000  0.500  0.000
Ba  0.500  0.500  0.500
Li  0.000  0.000  0.500

## Properties
* theoretical density: 4891 kg/m³
* excess energy over the best structure of this formula in the dataset: 0 meV per atom
* formation enthalpy at 0 K: -1.5 kcal/mol of atoms



# 14
Below is crystalline BaLiZnAg2 at its relaxed geometry, with properties calculated at the PBE level.

Unit cell a=5.143 b=5.143 c=4.958 alpha=90.00 beta=90.00 gamma=90.00
Fractional positions:
Ag  0.000  0.500  0.000
Li  0.000  0.000  0.500
Ag  0.500  0.000  0.000
Ba  0.500  0.500  0.500
Zn  0.000  0.000  0.000

## Properties
* theoretical density: 5387 kg/m³
* excess energy over the best structure of this formula in the dataset: 133 meV per atom
* formation enthalpy at 0 K: -1.6 kcal/mol of atoms



# 15
Below is crystalline Ba2LiZnAg6 at its relaxed geometry, with properties calculated at the PBE level.

Unit cell a=7.159 b=7.161 c=7.074 alpha=60.31 beta=60.31 gamma=90.49
Fractional positions:
Ag  0.200  0.199  0.507
Ag  0.756  0.244  0.000
Zn  0.500  0.500  0.000
Ba  0.287  0.713  0.500
Ag  0.800  0.801  0.493
Li  0.000  0.000  0.000
Ag  0.802  0.802  0.903
Ag  0.244  0.756  0.000
Ag  0.198  0.198  0.097
Ba  0.713  0.287  0.500

## Properties
* theoretical density: 6406 kg/m³
* formation enthalpy at 0 K: -2.2 kcal/mol of atoms



# 16
Below is crystalline BaLiZn2Ag2 at its relaxed geometry, with properties calculated at the PBE level.

Unit cell a=4.637 b=4.637 c=7.496 alpha=90.00 beta=90.00 gamma=120.00
Fractional positions:
Zn  0.333  0.667  0.319
Ag  0.667  0.333  0.322
Li  0.000  0.000  0.500
Ba  0.000  0.000  0.000
Zn  0.667  0.333  0.681
Ag  0.333  0.667  0.678

## Properties
* theoretical density: 5839 kg/m³
* formation enthalpy at 0 K: -5.1 kcal/mol of atoms



# 17
Below is crystalline BaLiZn2Ag at its relaxed geometry, with properties calculated at the PBE level.

Unit cell a=4.940 b=4.940 c=5.071 alpha=90.00 beta=90.00 gamma=90.00
Fractional positions:
Ba  0.500  0.500  0.500
Zn  0.000  0.500  0.000
Zn  0.500  0.000  0.000
Ag  0.000  0.000  0.500
Li  0.000  0.000  0.000

## Properties
* theoretical density: 5138 kg/m³
* excess energy over the best structure of this formula in the dataset: 35 meV per atom
* formation enthalpy at 0 K: -0.7 kcal/mol of atoms



# 18
Below is crystalline Ba2Li6ZnAg at its relaxed geometry, with properties calculated at the PBE level.

Unit cell a=7.378 b=7.378 c=7.370 alpha=60.07 beta=60.07 gamma=90.08
Fractional positions:
Li  0.748  0.251  0.000
Li  0.252  0.252  0.497
Ag  0.000  0.000  0.000
Zn  0.500  0.500  0.000
Li  0.748  0.748  0.503
Li  0.252  0.749  0.000
Ba  0.250  0.750  0.500
Li  0.748  0.749  0.000
Li  0.252  0.251  0.000
Ba  0.750  0.250  0.500

## Properties
* theoretical density: 2861 kg/m³
* formation enthalpy at 0 K: 0.1 kcal/mol of atoms



# 19
Below is crystalline BaLiZnAg2 at its relaxed geometry, with properties calculated at the PBE level.

Unit cell a=5.048 b=5.048 c=4.956 alpha=90.00 beta=90.00 gamma=90.00
Fractional positions:
Ag  0.500  0.000  0.000
Ba  0.500  0.500  0.500
Ag  0.000  0.500  0.000
Zn  0.000  0.000  0.500
Li  0.000  0.000  0.000

## Properties
* theoretical density: 5595 kg/m³
* excess energy over the best structure of this formula in the dataset: 147 meV per atom
* formation enthalpy at 0 K: -1.3 kcal/mol of atoms



# 20
Below is crystalline Ba2LiZn2Ag at its relaxed geometry, with properties calculated at the PBE level.

Unit cell a=6.736 b=6.966 c=9.139 alpha=112.40 beta=111.63 gamma=90.00
Fractional positions:
Ba  0.409  0.160  0.321
Ag  0.000  0.250  0.000
Ba  0.591  0.840  0.679
Ba  0.089  0.340  0.679
Ag  0.000  0.750  0.000
Zn  0.336  0.586  0.173
Zn  0.664  0.414  0.827
Zn  0.163  0.914  0.827
Ba  0.911  0.660  0.321
Li  0.500  0.250  0.000
Zn  0.837  0.086  0.173
Li  0.500  0.750  0.000

## Properties
* theoretical density: 4753 kg/m³
* formation enthalpy at 0 K: -3.4 kcal/mol of atoms



# 21
Below is crystalline Ba3Li2Zn2Ag4 at its relaxed geometry, with properties calculated at the PBE level.

Unit cell a=4.735 b=4.735 c=16.789 alpha=90.00 beta=90.00 gamma=120.00
Fractional positions:
Ba  0.000  0.000  0.729
Li  0.667  0.333  0.444
Ba  0.000  0.000  0.000
Ba  0.000  0.000  0.271
Ag  0.667  0.333  0.136
Zn  0.333  0.667  0.137
Ag  0.333  0.667  0.397
Ag  0.333  0.667  0.864
Zn  0.667  0.333  0.863
Ag  0.667  0.333  0.603
Li  0.333  0.667  0.556

## Properties
* theoretical density: 5034 kg/m³
* formation enthalpy at 0 K: -3.6 kcal/mol of atoms



# 22
Below is crystalline BaLiZnAg3 at its relaxed geometry, with properties calculated at the PBE level.

Unit cell a=6.278 b=6.721 c=7.356 alpha=117.18 beta=90.00 gamma=90.00
Fractional positions:
Zn  0.750  0.634  0.269
Ag  0.500  0.714  0.000
Ba  0.250  0.716  0.432
Ag  0.250  0.150  0.300
Ag  0.750  0.850  0.700
Li  0.750  0.050  0.099
Ba  0.750  0.284  0.568
Li  0.250  0.950  0.901
Zn  0.250  0.366  0.731
Ag  0.000  0.286  0.000
Ag  0.000  0.714  0.000
Ag  0.500  0.286  0.000

## Properties
* theoretical density: 6414 kg/m³
* formation enthalpy at 0 K: -2.9 kcal/mol of atoms



# 23
Below is crystalline BaLi2ZnAg at its relaxed geometry, with properties calculated at the PBE level.

Unit cell a=5.105 b=5.105 c=5.128 alpha=90.00 beta=90.00 gamma=90.00
Fractional positions:
Ba  0.500  0.500  0.500
Ag  0.000  0.000  0.500
Li  0.500  0.000  0.000
Zn  0.000  0.000  0.000
Li  0.000  0.500  0.000

## Properties
* theoretical density: 4032 kg/m³
* excess energy over the best structure of this formula in the dataset: 19 meV per atom
* formation enthalpy at 0 K: -0.9 kcal/mol of atoms



# 24
Below is crystalline BaLiZnAg2 at its relaxed geometry, with properties calculated at the PBE level.

Unit cell a=4.756 b=4.756 c=6.375 alpha=111.90 beta=111.90 gamma=90.00
Fractional positions:
Ba  0.000  0.000  0.000
Li  0.750  0.250  0.500
Zn  0.250  0.750  0.500
Ag  0.368  0.368  0.737
Ag  0.632  0.632  0.263

## Properties
* theoretical density: 5767 kg/m³
* excess energy over the best structure of this formula in the dataset: 0 meV per atom
* formation enthalpy at 0 K: -4.7 kcal/mol of atoms